(1)
Below is crystalline NiW5 at its relaxed geometry, with properties calculated at the PBE-GGA level.

Results
SG: P6_3/mmc, No. 194
E_form: 1.84 eV per formula unit

Lattice parameters (Å, degrees): 5.0977 5.0977 16.6919 90.00 90.00 120.00
With the nearest neighbours (Å) after each atom.
Fractional positions:
Ni: 0.3333 0.6667 0.1261  6 W 2.55-2.57
Ni: 0.3333 0.6667 0.3739  6 W 2.55-2.57
Ni: 0.6667 0.3333 0.6261  6 W 2.55-2.57
Ni: 0.6667 0.3333 0.8739  6 W 2.55-2.57
W: 0.5000 0.0000 0.0000  4 W 2.55, 2 Ni 2.57
W: 0.0000 0.5000 0.0000  4 W 2.55, 2 Ni 2.57
W: 0.5000 0.5000 0.0000  4 W 2.55, 2 Ni 2.57
W: 0.0000 0.0000 0.0938  13 W 2.98-3.13, 3 Ni 2.99
W: 0.6667 0.3333 0.1556  3 Ni 2.98, 13 W 2.99-3.15
W: 0.1640 0.3279 0.2500  4 W 2.51-2.59, 2 Ni 2.55
W: 0.1640 0.8360 0.2500  4 W 2.51-2.59, 2 Ni 2.55
W: 0.6721 0.8360 0.2500  4 W 2.51-2.59, 2 Ni 2.55
W: 0.6667 0.3333 0.3444  3 Ni 2.98, 13 W 2.99-3.15
W: 0.0000 0.0000 0.4062  13 W 2.98-3.13, 3 Ni 2.99
W: 0.5000 0.0000 0.5000  4 W 2.55, 2 Ni 2.57
W: 0.0000 0.5000 0.5000  4 W 2.55, 2 Ni 2.57
W: 0.5000 0.5000 0.5000  4 W 2.55, 2 Ni 2.57
W: 0.0000 0.0000 0.5938  13 W 2.98-3.13, 3 Ni 2.99
W: 0.3333 0.6667 0.6556  3 Ni 2.98, 13 W 2.99-3.15
W: 0.3279 0.1640 0.7500  4 W 2.51-2.59, 2 Ni 2.55
W: 0.8360 0.1640 0.7500  4 W 2.51-2.59, 2 Ni 2.55
W: 0.8360 0.6721 0.7500  4 W 2.51-2.59, 2 Ni 2.55
W: 0.3333 0.6667 0.8444  3 Ni 2.98, 13 W 2.99-3.15
W: 0.0000 0.0000 0.9062  13 W 2.98-3.13, 3 Ni 2.99

(2)
Below is crystalline Ni4W9 at its relaxed geometry, with properties calculated at the PBE-GGA level.

Results
SG: R-3m, No. 166
E_form: 4.92 eV per formula unit

Lattice parameters (Å, degrees): 9.2093 9.2093 9.2093 32.49 32.49 32.49
With the nearest neighbours (Å) after each atom.
Fractional positions:
Ni: 0.1658 0.1658 0.1658  6 W 2.62-2.64
Ni: 0.4556 0.4556 0.4556  1 Ni 2.32
Ni: 0.5444 0.5444 0.5444  1 Ni 2.32
Ni: 0.8342 0.8342 0.8342  6 W 2.62-2.64
W: 0.0000 0.0000 0.0000  6 W 2.65
W: 0.5798 0.0848 0.0848  5 W 2.55-2.65, 4 Ni 2.62-2.77
W: 0.0848 0.5798 0.0848  5 W 2.55-2.65, 4 Ni 2.62-2.77
W: 0.3495 0.3495 0.3495  1 Ni 2.77, 9 W 2.99-3.09
W: 0.9152 0.9152 0.4202  5 W 2.55-2.65, 4 Ni 2.62-2.77
W: 0.0848 0.0848 0.5798  5 W 2.55-2.65, 4 Ni 2.62-2.77
W: 0.6505 0.6505 0.6505  1 Ni 2.77, 9 W 2.99-3.09
W: 0.9152 0.4202 0.9152  5 W 2.55-2.65, 4 Ni 2.62-2.77
W: 0.4202 0.9152 0.9152  5 W 2.55-2.65, 4 Ni 2.62-2.77